No. 1
A plane-wave DFT calculation with GGA-PBE was carried out for an optimized crystal structure of RbMnCuS2.

```
data_RbMnCuS2
_chemical_formula_sum 'Rb2 Mn2 Cu2 S4'
_symmetry_space_group_name_H-M 'I -4 m 2'
_symmetry_Int_Tables_number 119
_symmetry_space_group_name_Hall 'I -4 -2'
_cell_length_a 3.995
_cell_length_b 3.995
_cell_length_c 13.816
_cell_angle_alpha 90.00
_cell_angle_beta 90.00
_cell_angle_gamma 90.00
loop_
_atom_site_label
_atom_site_fract_x
_atom_site_fract_y
_atom_site_fract_z
Rb1 0.000 0.000 0.000
Mn1 0.000 0.500 0.750
Cu1 0.000 0.500 0.250
S1 0.000 0.000 0.349
```

Computed properties:
The total magnetic moment comes out at 5.0 μB per formula unit. Its formation energy (no corrections) is -0.728 eV/atom. For the energy above the most stable polymorph in this dataset, the calculation gives 0.00 eV per formula unit.

No. 2
A plane-wave DFT calculation with GGA-PBE was carried out for an optimized crystal structure of ZnCrFe14.

```
data_ZnCrFe14
_chemical_formula_sum 'Zn2 Cr2 Fe28'
_symmetry_space_group_name_H-M 'C m m m'
_symmetry_Int_Tables_number 65
_symmetry_space_group_name_Hall '-C 2 2'
_cell_length_a 5.780
_cell_length_b 8.041
_cell_length_c 8.021
_cell_angle_alpha 90.00
_cell_angle_beta 90.00
_cell_angle_gamma 90.00
loop_
_atom_site_label
_atom_site_fract_x
_atom_site_fract_y
_atom_site_fract_z
Zn1 0.000 0.000 0.000
Cr1 0.000 0.500 0.000
Fe1 0.000 0.000 0.500
Fe2 0.000 0.248 0.249
Fe3 0.000 0.500 0.500
Fe4 0.247 0.500 0.253
Fe5 0.250 0.250 0.000
Fe6 0.250 0.250 0.500
```

Computed properties:
The total magnetic moment comes out at 30.0 μB per formula unit. The formation energy from the elements comes out at 27 meV per atom.

No. 3
A plane-wave DFT calculation with GGA-PBE was carried out for an optimized crystal structure of TbPm2Fe9.

```
data_TbPm2Fe9
_chemical_formula_sum 'Tb3 Pm6 Fe27'
_symmetry_space_group_name_H-M 'R -3 m'
_symmetry_Int_Tables_number 166
_symmetry_space_group_name_Hall '-R 3 2"'
_cell_length_a 5.1453
_cell_length_b 5.1453
_cell_length_c 24.7077
_cell_angle_alpha 90.00
_cell_angle_beta 90.00
_cell_angle_gamma 120.00
loop_
_atom_site_label
_atom_site_fract_x
_atom_site_fract_y
_atom_site_fract_z
Tb1 0.0000 0.0000 0.0000
Pm1 0.0000 0.0000 0.1415
Fe1 0.0000 0.0000 0.3328
Fe2 0.0000 0.0000 0.5000
Fe3 0.0031 0.5016 0.0797
```

Computed properties:
The total magnetic moment comes out at 18.9 μB per formula unit. The formation energy from the elements comes out at -4 meV per atom.

No. 4
A plane-wave DFT calculation with GGA-PBE was carried out for an optimized crystal structure of ScGa7Ni5.

```
data_ScGa7Ni5
_chemical_formula_sum 'Sc2 Ga14 Ni10'
_symmetry_space_group_name_H-M 'I m m 2'
_symmetry_Int_Tables_number 44
_cell_length_a 5.056
_cell_length_b 8.601
_cell_length_c 8.345
_cell_angle_alpha 90.00
_cell_angle_beta 90.00
_cell_angle_gamma 90.00
loop_
_symmetry_equiv_pos_as_xyz
'x,y,z'
'-x,-y,z'
'-x,y,z'
'x,-y,z'
'x+1/2,y+1/2,z+1/2'
'-x+1/2,-y+1/2,z+1/2'
'-x+1/2,y+1/2,z+1/2'
'x+1/2,-y+1/2,z+1/2'
loop_
_atom_site_label
_atom_site_fract_x
_atom_site_fract_y
_atom_site_fract_z
Sc1 0.000 0.000 0.000
Ga1 0.000 0.000 0.353
Ga2 0.000 0.000 0.666
Ga3 0.000 0.308 0.487
Ga4 0.000 0.337 0.014
Ga5 0.000 0.500 0.732
Ni1 0.000 0.500 0.263
Ni2 0.247 0.261 0.749
```

Computed properties:
The total magnetic moment comes out at 0.0 μB per formula unit. The formation energy from the elements comes out at -441 meV per atom.

No. 5
A plane-wave DFT calculation with GGA-PBE was carried out for an optimized crystal structure of Sn2TePd2.

```
data_Sn2TePd2
_chemical_formula_sum 'Sn4 Te2 Pd4'
_symmetry_space_group_name_H-M 'I 4/m m m'
_symmetry_Int_Tables_number 139
_symmetry_space_group_name_Hall '-I 4 2'
_cell_length_a 4.186
_cell_length_b 4.186
_cell_length_c 13.058
_cell_angle_alpha 90.00
_cell_angle_beta 90.00
_cell_angle_gamma 90.00
loop_
_atom_site_label
_atom_site_fract_x
_atom_site_fract_y
_atom_site_fract_z
Sn1 0.000 0.000 0.114
Te1 0.000 0.000 0.500
Pd1 0.000 0.500 0.250
```

Computed properties:
The total magnetic moment comes out at 0.0 μB per formula unit. Its formation energy (no corrections) is -0.176 eV/atom. For the energy above the most stable polymorph in this dataset, the calculation gives 0.52 eV per formula unit.

No. 6
A plane-wave DFT calculation with GGA-PBE was carried out for an optimized crystal structure of Ca2CdI.

```
data_Ca2CdI
_chemical_formula_sum 'Ca6 Cd3 I3'
_symmetry_space_group_name_H-M 'R -3 m'
_symmetry_Int_Tables_number 166
_symmetry_space_group_name_Hall '-R 3 2"'
_cell_length_a 4.1830
_cell_length_b 4.1830
_cell_length_c 26.6621
_cell_angle_alpha 90.00
_cell_angle_beta 90.00
_cell_angle_gamma 120.00
loop_
_atom_site_label
_atom_site_fract_x
_atom_site_fract_y
_atom_site_fract_z
Ca1 0.0000 0.0000 0.2449
Cd1 0.0000 0.0000 0.5000
I1 0.0000 0.0000 0.0000
```

Computed properties:
The total magnetic moment comes out at 0.0 μB per formula unit. Its formation energy (no corrections) is -0.667 eV/atom. For the energy above the most stable polymorph in this dataset, the calculation gives 0.00 eV per formula unit.

No. 7
A plane-wave DFT calculation with GGA-PBE was carried out for an optimized crystal structure of Pm6Rh3C.

```
data_Pm6Rh3C
_chemical_formula_sum 'Pm12 Rh6 C2'
_symmetry_space_group_name_H-M 'P 1 21/c 1'
_symmetry_Int_Tables_number 14
_cell_length_a 6.802
_cell_length_b 7.409
_cell_length_c 11.984
_cell_angle_alpha 90.00
_cell_angle_beta 123.17
_cell_angle_gamma 90.00
loop_
_symmetry_equiv_pos_as_xyz
'x,y,z'
'-x,-y,-z'
'-x,y+1/2,-z+1/2'
'x,-y+1/2,z+1/2'
loop_
_atom_site_label
_atom_site_fract_x
_atom_site_fract_y
_atom_site_fract_z
Pm1 0.094 0.051 0.237
Pm2 0.235 0.692 0.073
Pm3 0.373 0.166 0.063
Rh1 0.303 0.104 0.767
Rh2 0.500 0.000 0.500
C1 0.000 0.000 0.000
```

Computed properties:
The total magnetic moment comes out at 0.0 μB per formula unit. The formation energy from the elements comes out at -453 meV per atom.

No. 8
A plane-wave DFT calculation with GGA-PBE was carried out for an optimized crystal structure of K12Na3Ag5.

```
data_K12Na3Ag5
_chemical_formula_sum 'K96 Na24 Ag40'
_symmetry_space_group_name_H-M 'I a -3 d'
_symmetry_Int_Tables_number 230
_symmetry_space_group_name_Hall '-I 4bd 2c 3'
_cell_length_a 21.246
_cell_length_b 21.246
_cell_length_c 21.246
_cell_angle_alpha 90.00
_cell_angle_beta 90.00
_cell_angle_gamma 90.00
loop_
_atom_site_label
_atom_site_fract_x
_atom_site_fract_y
_atom_site_fract_z
K1 0.030 0.063 0.646
Na1 0.000 0.250 0.125
Ag1 0.000 0.000 0.000
Ag2 0.000 0.250 0.375
```

Computed properties:
The total magnetic moment comes out at 0.0 μB per formula unit. The formation energy from the elements comes out at 157 meV per atom.

No. 9
A plane-wave DFT calculation with GGA-PBE was carried out for an optimized crystal structure of Ta2OsCl.

```
data_Ta2OsCl
_chemical_formula_sum 'Ta4 Os2 Cl2'
_symmetry_space_group_name_H-M 'C 1 m 1'
_symmetry_Int_Tables_number 8
_cell_length_a 10.902
_cell_length_b 2.994
_cell_length_c 4.410
_cell_angle_alpha 90.00
_cell_angle_beta 103.95
_cell_angle_gamma 90.00
loop_
_symmetry_equiv_pos_as_xyz
'x,y,z'
'x,-y,z'
'x+1/2,y+1/2,z'
'x+1/2,-y+1/2,z'
loop_
_atom_site_label
_atom_site_fract_x
_atom_site_fract_y
_atom_site_fract_z
Ta1 0.000 0.000 0.000
Ta2 0.227 0.500 0.393
Os1 0.293 0.000 0.940
Cl1 0.029 0.500 0.565
```

Computed properties:
The total magnetic moment comes out at 0.0 μB per formula unit. Its formation energy (no corrections) is 0.257 eV/atom. For the energy above the most stable polymorph in this dataset, the calculation gives 1.39 eV per formula unit.

No. 10
A plane-wave DFT calculation with GGA-PBE was carried out for an optimized crystal structure of CuTe3.

```
data_CuTe3
_chemical_formula_sum 'Cu1 Te3'
_symmetry_space_group_name_H-M 'P 4/m m m'
_symmetry_Int_Tables_number 123
_symmetry_space_group_name_Hall '-P 4 2'
_cell_length_a 5.285
_cell_length_b 5.285
_cell_length_c 3.576
_cell_angle_alpha 90.00
_cell_angle_beta 90.00
_cell_angle_gamma 90.00
loop_
_atom_site_label
_atom_site_fract_x
_atom_site_fract_y
_atom_site_fract_z
Cu1 0.000 0.000 0.000
Te1 0.000 0.500 0.500
Te2 0.500 0.500 0.000
```

Computed properties:
The total magnetic moment comes out at 0.0 μB per formula unit. Its formation energy (no corrections) is 0.458 eV/atom.

No. 11
A plane-wave DFT calculation with GGA-PBE was carried out for an optimized crystal structure of Na3Ac4Pb5.

```
data_Na3Ac4Pb5
_chemical_formula_sum 'Na6 Ac8 Pb10'
_symmetry_space_group_name_H-M 'C 1 2/m 1'
_symmetry_Int_Tables_number 12
_cell_length_a 14.635
_cell_length_b 5.348
_cell_length_c 13.498
_cell_angle_alpha 90.00
_cell_angle_beta 118.07
_cell_angle_gamma 90.00
loop_
_symmetry_equiv_pos_as_xyz
'x,y,z'
'-x,-y,-z'
'-x,y,-z'
'x,-y,z'
'x+1/2,y+1/2,z'
'-x+1/2,-y+1/2,-z'
'-x+1/2,y+1/2,-z'
'x+1/2,-y+1/2,z'
loop_
_atom_site_label
_atom_site_fract_x
_atom_site_fract_y
_atom_site_fract_z
Na1 0.000 0.000 0.000
Na2 0.188 0.500 0.230
Ac1 0.097 0.500 0.822
Ac2 0.137 0.500 0.503
Pb1 0.000 0.500 0.000
Pb2 0.074 0.000 0.633
Pb3 0.101 0.000 0.300
```

Computed properties:
The total magnetic moment comes out at 0.0 μB per formula unit. The formation energy from the elements comes out at -180 meV per atom.

No. 12
A plane-wave DFT calculation with GGA-PBE was carried out for an optimized crystal structure of DyCrFe4.

```
data_DyCrFe4
_chemical_formula_sum 'Dy4 Cr4 Fe16'
_symmetry_space_group_name_H-M 'F -4 3 m'
_symmetry_Int_Tables_number 216
_symmetry_space_group_name_Hall 'F -4 2 3'
_cell_length_a 6.927
_cell_length_b 6.927
_cell_length_c 6.927
_cell_angle_alpha 90.00
_cell_angle_beta 90.00
_cell_angle_gamma 90.00
loop_
_atom_site_label
_atom_site_fract_x
_atom_site_fract_y
_atom_site_fract_z
Dy1 0.000 0.000 0.000
Cr1 0.250 0.250 0.250
Fe1 0.124 0.124 0.624
```

Computed properties:
The total magnetic moment comes out at 8.8 μB per formula unit. The formation energy from the elements comes out at 178 meV per atom.